[1]
BeGaPS2 | PBE-GGA | optimized geometry

Energy relative to the elements, uncorrected, meV per atom: 396
Theoretical density, g cm⁻³: 3.4
ΔE to the lowest computed polymorph, meV/atom: 0

Lattice parameters (Å, degrees): 4.585 4.585 4.080 90.00 90.00 90.00
Element x y z (fractional)
P: 0.000 0.000 0.500
S: 0.000 0.500 0.000
S: 0.500 0.000 0.000
Ga: 0.500 0.500 0.500
Be: 0.000 0.000 0.000

---

[2]
BeGaP2S | PBE-GGA | optimized geometry

Energy relative to the elements, uncorrected, meV per atom: 539
Theoretical density, g cm⁻³: 3.5
ΔE to the lowest computed polymorph, meV/atom: 0

Lattice parameters (Å, degrees): 4.313 4.434 4.313 90.00 90.00 90.00
Element x y z (fractional)
P: 0.000 0.000 0.500
P: 0.500 0.000 0.000
S: 0.000 0.500 0.000
Ga: 0.500 0.500 0.500
Be: 0.000 0.000 0.000

---

[3]
SrBe2GaP | PBE-GGA | optimized geometry

Theoretical density, g cm⁻³: 2.1
Formation enthalpy at 0 K, meV/atom: 2040

Lattice parameters (Å, degrees): 5.279 5.723 5.279 90.00 90.00 90.00
Element x y z (fractional)
Sr: 0.000 0.000 0.000
Be: 0.000 0.000 0.500
Be: 0.500 0.000 0.000
Ga: 0.000 0.500 0.000
P: 0.500 0.500 0.500

---

[4]
Zr2BeGaP | PBE-GGA | optimized geometry

Theoretical density, g cm⁻³: 4.9
Formation enthalpy at 0 K, meV/atom: 333

Lattice parameters (Å, degrees): 5.049 3.898 5.049 90.00 90.00 90.00
Element x y z (fractional)
P: 0.500 0.500 0.500
Ga: 0.000 0.000 0.000
Zr: 0.000 0.000 0.500
Zr: 0.500 0.000 0.000
Be: 0.000 0.500 0.000

---

[5]
ZrBeGa2P | PBE-GGA | optimized geometry

Theoretical density, g cm⁻³: 5.2
Formation enthalpy at 0 K, meV/atom: 31

Lattice parameters (Å, degrees): 4.044 5.328 4.044 90.00 90.00 90.00
Element x y z (fractional)
P: 0.500 0.500 0.500
Ga: 0.000 0.000 0.500
Ga: 0.500 0.000 0.000
Zr: 0.000 0.500 0.000
Be: 0.000 0.000 0.000

---

[6]
Pa2BeGa3 | PBE-GGA | optimized geometry

Theoretical density, g cm⁻³: 9.9
Formation enthalpy at 0 K, meV/atom: -227
ΔE to the lowest computed polymorph, meV/atom: 36

Lattice parameters (Å, degrees): 5.570 5.570 8.345 104.39 104.39 104.80
Element x y z (fractional)
Pa: 0.250 0.750 0.500
Pa: 0.758 0.758 0.000
Pa: 0.750 0.250 0.500
Pa: 0.242 0.242 0.000
Be: 0.335 0.335 0.669
Be: 0.665 0.665 0.331
Ga: 0.651 0.177 0.828
Ga: 0.823 0.349 0.172
Ga: 0.349 0.823 0.172
Ga: 0.177 0.651 0.828
Ga: 0.826 0.826 0.653
Ga: 0.174 0.174 0.347

---

[7]
Pa2BeGa3 | PBE-GGA | optimized geometry

Theoretical density, g cm⁻³: 9.7
Formation enthalpy at 0 K, meV/atom: -263
ΔE to the lowest computed polymorph, meV/atom: 0

Lattice parameters (Å, degrees): 4.067 4.066 7.071 90.00 90.00 90.00
Element x y z (fractional)
Pa: 0.000 0.500 0.009
Pa: 0.000 0.000 0.494
Be: 0.500 0.500 0.329
Ga: 0.500 0.000 0.837
Ga: 0.500 0.000 0.183
Ga: 0.500 0.500 0.648

---

[8]
PaBeGa2 | PBE-GGA | optimized geometry

Theoretical density, g cm⁻³: 8.5
Formation enthalpy at 0 K, meV/atom: -42
ΔE to the lowest computed polymorph, meV/atom: 239

Lattice parameters (Å, degrees): 4.288 4.152 4.152 90.00 90.00 90.00
Element x y z (fractional)
Be: 0.500 0.500 0.500
Pa: 0.500 0.000 0.000
Ga: 0.000 0.000 0.500
Ga: 0.000 0.500 0.000

---

[9]
PaBe2Ga2 | PBE-GGA | optimized geometry

Theoretical density, g cm⁻³: 8.4
Formation enthalpy at 0 K, meV/atom: -226

Lattice parameters (Å, degrees): 4.049 4.049 9.361 90.00 90.00 90.00
Element x y z (fractional)
Pa: 0.500 0.000 0.242
Pa: 0.000 0.500 0.758
Be: 0.000 0.500 0.367
Be: 0.500 0.000 0.633
Be: 0.500 0.500 0.000
Be: 0.000 0.000 0.000
Ga: 0.500 0.500 0.500
Ga: 0.000 0.000 0.500
Ga: 0.000 0.500 0.126
Ga: 0.500 0.000 0.874

---

[10]
PaBeGa2 | PBE-GGA | optimized geometry

Theoretical density, g cm⁻³: 8.7
Formation enthalpy at 0 K, meV/atom: 79
ΔE to the lowest computed polymorph, meV/atom: 360

Lattice parameters (Å, degrees): 4.678 4.678 4.680 60.01 60.01 60.00
Element x y z (fractional)
Be: 0.000 0.000 0.000
Pa: 0.500 0.500 0.500
Ga: 0.750 0.750 0.750
Ga: 0.250 0.250 0.250

---

[11]
PaBeGa2 | PBE-GGA | optimized geometry

Theoretical density, g cm⁻³: 9.1
Formation enthalpy at 0 K, meV/atom: -281
ΔE to the lowest computed polymorph, meV/atom: 0

Lattice parameters (Å, degrees): 4.080 4.066 8.585 103.70 90.00 90.00
Element x y z (fractional)
Pa: 0.250 0.895 0.789
Pa: 0.750 0.105 0.211
Be: 0.750 0.325 0.651
Be: 0.250 0.675 0.349
Ga: 0.250 0.250 0.500
Ga: 0.750 0.750 0.500
Ga: 0.750 0.459 0.918
Ga: 0.250 0.541 0.082

---

[12]
PaBeGa5 | PBE-GGA | optimized geometry

Theoretical density, g cm⁻³: 7.7
Formation enthalpy at 0 K, meV/atom: -177

Lattice parameters (Å, degrees): 4.312 4.312 6.795 90.00 90.00 90.00
Element x y z (fractional)
Pa: 0.000 0.000 0.000
Be: 0.000 0.000 0.500
Ga: 0.500 0.000 0.692
Ga: 0.000 0.500 0.692
Ga: 0.500 0.500 0.000
Ga: 0.000 0.500 0.308
Ga: 0.500 0.000 0.308

---

[13]
Pa2Be4GaPt3 | PBE-GGA | optimized geometry

Theoretical density, g cm⁻³: 12.4
Formation enthalpy at 0 K, meV/atom: -642

Lattice parameters (Å, degrees): 3.975 3.975 9.765 90.00 90.00 90.00
Element x y z (fractional)
Pa: 0.500 0.000 0.243
Pa: 0.000 0.500 0.757
Be: 0.500 0.500 0.000
Be: 0.000 0.000 0.000
Be: 0.500 0.000 0.635
Be: 0.000 0.500 0.365
Ga: 0.500 0.500 0.500
Pt: 0.000 0.000 0.500
Pt: 0.500 0.000 0.872
Pt: 0.000 0.500 0.128

---

[14]
Pa2Be3GaPt4 | PBE-GGA | optimized geometry

Theoretical density, g cm⁻³: 13.7
Formation enthalpy at 0 K, meV/atom: -779

Lattice parameters (Å, degrees): 4.012 4.012 10.079 90.00 90.00 90.00
Element x y z (fractional)
Pa: 0.500 0.000 0.246
Pa: 0.000 0.500 0.754
Be: 0.000 0.000 0.500
Be: 0.500 0.000 0.879
Be: 0.000 0.500 0.121
Ga: 0.500 0.500 0.500
Pt: 0.500 0.500 0.000
Pt: 0.000 0.000 0.000
Pt: 0.500 0.000 0.651
Pt: 0.000 0.500 0.349

---

[15]
Pa2BeGaPt6 | PBE-GGA | optimized geometry

Theoretical density, g cm⁻³: 15.2
Formation enthalpy at 0 K, meV/atom: -474

Lattice parameters (Å, degrees): 6.418 6.418 6.418 60.00 60.00 90.00
Element x y z (fractional)
Pa: 0.250 0.750 0.500
Pa: 0.750 0.250 0.500
Be: 0.500 0.500 0.000
Ga: 0.000 0.000 0.000
Pt: 0.265 0.735 0.000
Pt: 0.735 0.735 0.000
Pt: 0.265 0.265 0.470
Pt: 0.735 0.265 0.000
Pt: 0.265 0.265 0.000
Pt: 0.735 0.735 0.530

---

[16]
Pa2Be2GaRu5 | PBE-GGA | optimized geometry

Theoretical density, g cm⁻³: 11.7
Formation enthalpy at 0 K, meV/atom: -529

Lattice parameters (Å, degrees): 3.295 9.545 9.545 90.00 90.00 90.00
Element x y z (fractional)
Pa: 0.000 0.676 0.176
Pa: 0.000 0.324 0.824
Pa: 0.000 0.176 0.324
Pa: 0.000 0.824 0.676
Be: 0.000 0.122 0.622
Be: 0.000 0.878 0.378
Be: 0.000 0.622 0.878
Be: 0.000 0.378 0.122
Ga: 0.000 0.000 0.000
Ga: 0.000 0.500 0.500
Ru: 0.500 0.209 0.076
Ru: 0.500 0.791 0.924
Ru: 0.500 0.076 0.791
Ru: 0.500 0.709 0.424
Ru: 0.500 0.924 0.209
Ru: 0.500 0.291 0.576
Ru: 0.500 0.576 0.709
Ru: 0.500 0.424 0.291
Ru: 0.500 0.500 0.000
Ru: 0.500 0.000 0.500

---

[17]
ScPaBeGa | PBE-GGA | optimized geometry

Theoretical density, g cm⁻³: 7.6
Formation enthalpy at 0 K, meV/atom: -66

Lattice parameters (Å, degrees): 4.777 4.777 4.777 60.00 60.00 60.00
Element x y z (fractional)
Sc: 0.000 0.000 0.000
Be: 0.750 0.750 0.750
Pa: 0.500 0.500 0.500
Ga: 0.250 0.250 0.250

---

[18]
Be2Ga2Pb | PBE-GGA | optimized geometry

Theoretical density, g cm⁻³: 7.0
Formation enthalpy at 0 K, meV/atom: 311
ΔE to the lowest computed polymorph, meV/atom: 0

Lattice parameters (Å, degrees): 3.981 3.981 6.113 71.00 71.00 90.00
Element x y z (fractional)
Pb: 0.000 0.000 0.000
Be: 0.750 0.250 0.500
Be: 0.250 0.750 0.500
Ga: 0.375 0.375 0.250
Ga: 0.625 0.625 0.750

---

[19]
Be2Ga2Pb | PBE-GGA | optimized geometry

Theoretical density, g cm⁻³: 7.0
Formation enthalpy at 0 K, meV/atom: 412
ΔE to the lowest computed polymorph, meV/atom: 101

Lattice parameters (Å, degrees): 6.763 6.763 3.789 90.00 90.00 90.00
Element x y z (fractional)
Pb: 0.000 0.000 0.000
Pb: 0.500 0.500 0.000
Be: 0.389 0.889 0.000
Be: 0.889 0.611 0.000
Be: 0.611 0.111 0.000
Be: 0.111 0.389 0.000
Ga: 0.150 0.650 0.500
Ga: 0.650 0.850 0.500
Ga: 0.850 0.350 0.500
Ga: 0.350 0.150 0.500

---

[20]
BeGa2Pb | PBE-GGA | optimized geometry

Theoretical density, g cm⁻³: 6.9
Formation enthalpy at 0 K, meV/atom: 277
ΔE to the lowest computed polymorph, meV/atom: 0

Lattice parameters (Å, degrees): 4.684 4.684 8.465 73.94 73.94 90.00
Element x y z (fractional)
Pb: 0.000 0.000 0.000
Pb: 0.750 0.250 0.500
Be: 0.500 0.500 0.000
Be: 0.250 0.750 0.500
Ga: 0.507 0.125 0.250
Ga: 0.243 0.625 0.250
Ga: 0.375 0.493 0.750
Ga: 0.875 0.757 0.750

---

[21]
BeGaPb3 | PBE-GGA | optimized geometry

Theoretical density, g cm⁻³: 8.5
Formation enthalpy at 0 K, meV/atom: 410
ΔE to the lowest computed polymorph, meV/atom: 0

Lattice parameters (Å, degrees): 5.147 5.147 5.147 90.00 90.00 90.00
Element x y z (fractional)
Pb: 0.000 0.500 0.000
Pb: 0.000 0.000 0.500
Pb: 0.500 0.000 0.000
Be: 0.000 0.000 0.000
Ga: 0.500 0.500 0.500

---

[22]
BeGa3Pb | PBE-GGA | optimized geometry

Theoretical density, g cm⁻³: 6.9
Formation enthalpy at 0 K, meV/atom: 244
ΔE to the lowest computed polymorph, meV/atom: 0

Lattice parameters (Å, degrees): 4.676 4.676 4.676 90.00 90.00 90.00
Element x y z (fractional)
Pb: 0.500 0.500 0.500
Be: 0.000 0.000 0.000
Ga: 0.000 0.500 0.000
Ga: 0.000 0.000 0.500
Ga: 0.500 0.000 0.000

---

[23]
BeGa2Pb | PBE-GGA | optimized geometry

Theoretical density, g cm⁻³: 7.1
Formation enthalpy at 0 K, meV/atom: 523
ΔE to the lowest computed polymorph, meV/atom: 246

Lattice parameters (Å, degrees): 4.894 4.894 4.894 60.00 60.00 60.00
Element x y z (fractional)
Pb: 0.500 0.500 0.500
Be: 0.000 0.000 0.000
Ga: 0.250 0.250 0.250
Ga: 0.750 0.750 0.750

---

[24]
BeGa3Pb | PBE-GGA | optimized geometry

Theoretical density, g cm⁻³: 4.1
Formation enthalpy at 0 K, meV/atom: 1159
ΔE to the lowest computed polymorph, meV/atom: 915

Lattice parameters (Å, degrees): 5.558 5.558 5.558 90.00 90.00 90.00
Element x y z (fractional)
Pb: 0.000 0.000 0.000
Be: 0.500 0.500 0.500
Ga: 0.000 0.500 0.000
Ga: 0.000 0.000 0.500
Ga: 0.500 0.000 0.000

---

[25]
BeGaPb3 | PBE-GGA | optimized geometry

Theoretical density, g cm⁻³: 7.0
Formation enthalpy at 0 K, meV/atom: 894
ΔE to the lowest computed polymorph, meV/atom: 484

Lattice parameters (Å, degrees): 5.490 5.490 5.490 90.00 90.00 90.00
Element x y z (fractional)
Pb: 0.000 0.500 0.000
Pb: 0.000 0.000 0.500
Pb: 0.500 0.000 0.000
Be: 0.500 0.500 0.500
Ga: 0.000 0.000 0.000

---

[26]
BeGaSb2Pb | PBE-GGA | optimized geometry

Energy relative to the elements, uncorrected, meV per atom: 1493
Theoretical density, g cm⁻³: 3.6

Lattice parameters (Å, degrees): 6.574 6.574 5.701 90.00 90.00 90.00
Element x y z (fractional)
Pb: 0.000 0.000 0.000
Sb: 0.000 0.500 0.000
Sb: 0.500 0.000 0.000
Ga: 0.000 0.000 0.500
Be: 0.500 0.500 0.500